# LaNdSmDy

LaNdSmDy after structural relaxation (GGA-PBE, the Alexandria database).

Cell lengths 5.807, 5.807, 5.807 Å; angles 60.00, 60.00, 60.00 degrees
Atoms (fractional coordinates):
La 0.000 0.000 0.000
Nd 0.500 0.500 0.500
Sm 0.250 0.250 0.250
Dy 0.750 0.750 0.750

Its total magnetization is 0.0 μB per formula unit. Its formation enthalpy at 0 K is 115.9 meV per atom. As for the final energy: -4.638 eV/atom.